The following is a PBE calculation of a geometry-optimized Ac2Pr3NpN6 structure, from the Alexandria database.

DOS at the Fermi energy: 6.89 states/eV/f.u.
Calculated total energy: -8.303 eV/atom

```
data_Ac2Pr3NpN6
_chemical_formula_sum 'Ac4 Pr6 Np2 N12'
_cell_length_a 6.443
_cell_length_b 11.243
_cell_length_c 6.366
_cell_angle_alpha 90.00
_cell_angle_beta 109.64
_cell_angle_gamma 90.00
_space_group_name_H-M_alt 'C 1 2/m 1'
_space_group_IT_number 12
_space_group_name_Hall '-C 2y'
loop_
_atom_site_label
_atom_site_type_symbol
_atom_site_fract_x
_atom_site_fract_y
_atom_site_fract_z
_atom_site_occupancy
Ac1 Ac 0.000 0.166 0.000 1
Pr1 Pr 0.000 0.000 0.500 1
Pr2 Pr 0.000 0.342 0.500 1
Np1 Np 0.000 0.500 0.000 1
N1 N 0.214 0.360 0.223 1
N2 N 0.222 0.500 0.752 1
```